Cd2Ni3 | Alexandria via LeMat-Bulk | PBE | optimized geometry; crystal system = orthorhombic; final energy = -3.715 eV/atom
1.0
4.6228 -5.4322 3.4397
3.8182 -1.0074 5.8453
-2.1343 -4.2791 1.7742
Ni Cd
6 4
direct
0.4398 0.8315 0.9248
0.0272 0.9728 0.9728
0.3252 0.4462 0.8102
0.2772 0.2228 0.2228
0.8038 0.9248 0.8315
0.4185 0.8102 0.4462
0.9967 0.3995 0.8714
0.8505 0.2533 0.5175
0.7325 0.8714 0.3995
0.3786 0.5175 0.2533

Cd2Ni | Alexandria via LeMat-Bulk | PBE | optimized geometry; crystal system = trigonal; final energy = -2.380 eV/atom
1.0
-2.7404 0.9890 -0.7128
0.9896 -2.6052 -1.1088
-2.6200 -3.3210 5.4645
Ni Cd
1 2
direct
0.0000 0.0000 0.0000
0.3333 0.6667 0.3005
0.6667 0.3333 0.6995

CdNi2 | Alexandria via LeMat-Bulk | PBE | optimized geometry; crystal system = orthorhombic; final energy = -4.042 eV/atom
1.0
1.8298 -5.7937 0.0000
1.8298 5.7937 0.0000
0.0000 0.0000 3.9081
Cd Ni
2 4
direct
0.9120 0.0880 0.7500
0.0880 0.9120 0.2500
0.2493 0.7507 0.7500
0.7507 0.2493 0.2500
0.4002 0.5998 0.2500
0.5998 0.4002 0.7500

Cd2Ni | Alexandria via LeMat-Bulk | PBE | optimized geometry; crystal system = cubic; final energy = -2.504 eV/atom
1.0
-8.2787 -1.0654 -1.2328
-4.7670 -3.3992 6.0756
2.7386 5.8542 5.4241
Ni Cd
8 16
direct
0.4214 0.7107 0.7107
0.4214 0.3679 0.7107
0.9214 0.2893 0.6321
0.5786 0.2893 0.2893
0.9214 0.2893 0.2893
0.0786 0.7107 0.3679
0.0786 0.7107 0.7107
0.5786 0.6321 0.2893
0.5000 0.5000 0.0000
0.8726 0.3137 0.9363
0.0000 0.5000 0.5000
0.7500 0.6863 0.0637
0.7500 0.0637 0.6863
0.2500 0.3137 0.3137
0.6274 0.9363 0.3137
0.3726 0.0637 0.6863
0.1274 0.6863 0.0637
0.7500 0.0637 0.0637
0.5000 0.5000 0.5000
0.2500 0.9363 0.3137
0.0000 0.0000 0.5000
0.7500 0.6863 0.6863
0.2500 0.9363 0.9363
0.2500 0.3137 0.9363

Please write out number 1 again, unchanged.
Cd2Ni3 | Alexandria via LeMat-Bulk | PBE | optimized geometry; crystal system = orthorhombic; final energy = -3.715 eV/atom
1.0
4.6228 -5.4322 3.4397
3.8182 -1.0074 5.8453
-2.1343 -4.2791 1.7742
Ni Cd
6 4
direct
0.4398 0.8315 0.9248
0.0272 0.9728 0.9728
0.3252 0.4462 0.8102
0.2772 0.2228 0.2228
0.8038 0.9248 0.8315
0.4185 0.8102 0.4462
0.9967 0.3995 0.8714
0.8505 0.2533 0.5175
0.7325 0.8714 0.3995
0.3786 0.5175 0.2533